Density functional theory data (PBE) for a geometry-optimized Rb2URhSe4 structure.

Structure (POSCAR):
```
Rb2URhSe4
1.0
0.0000 7.2252 12.6387
3.2281 0.0000 12.6387
3.2281 7.2252 0.0000
Rb U Rh Se
4 2 2 8
Direct
0.0559 0.0559 0.6941 Rb
0.3059 0.3059 0.9441 Rb
0.6941 0.6941 0.0559 Rb
0.9441 0.9441 0.3059 Rb
0.1250 0.1250 0.1250 U
0.8750 0.8750 0.8750 U
0.3750 0.3750 0.3750 Rh
0.6250 0.6250 0.6250 Rh
0.0092 0.3428 0.4514 Se
0.3034 0.5486 0.6572 Se
0.3428 0.0092 0.6966 Se
0.4514 0.6966 0.0092 Se
0.5486 0.3034 0.9908 Se
0.6572 0.9908 0.3034 Se
0.6966 0.4514 0.3428 Se
0.9908 0.6572 0.5486 Se
```

Summary:
SG ... Fddd, No. 70
E ... -5.053 eV per atom
Formation energy without anion corrections ... -739 meV/atom

---

Density functional theory data (PBE) for a geometry-optimized HoScHg2 structure.

Structure (POSCAR):
```
HoScHg2
1.0
3.5965 0.0000 0.0000
0.0000 3.5965 0.0000
0.0000 0.0000 7.2885
Ho Sc Hg
1 1 2
Direct
0.0000 0.0000 0.0000 Ho
0.0000 0.0000 0.5000 Sc
0.5000 0.5000 0.2683 Hg
0.5000 0.5000 0.7317 Hg
```

Summary:
SG ... P4/mmm, No. 123
Energy relative to the elements ... -0.45 eV/atom
E ... -3.328 eV per atom

---

Density functional theory data (PBE) for a geometry-optimized Li2Y3Tl6 structure.

Structure (POSCAR):
```
Li2Y3Tl6
1.0
-2.3374 2.3374 12.8513
2.3374 -2.3374 12.8513
2.3374 2.3374 -12.8513
Li Y Tl
2 3 6
Direct
0.0462 0.0462 0.0000 Li
0.9538 0.9538 0.0000 Li
0.3089 0.3089 0.0000 Y
0.5000 0.5000 0.0000 Y
0.6911 0.6911 0.0000 Y
0.0966 0.5966 0.5000 Tl
0.1888 0.1888 0.0000 Tl
0.4034 0.9034 0.5000 Tl
0.5966 0.0966 0.5000 Tl
0.8112 0.8112 0.0000 Tl
0.9034 0.4034 0.5000 Tl
```

Summary:
SG ... I4/mmm, No. 139
Energy relative to the elements ... -0.19 eV/atom
E ... -3.590 eV per atom

---

Density functional theory data (PBE) for a geometry-optimized LiPmSe2 structure.

Structure (POSCAR):
```
LiPmSe2
1.0
2.0889 1.2060 6.5235
-2.0889 1.2060 6.5235
0.0000 -2.4121 6.5235
Li Pm Se
1 1 2
Direct
0.0000 0.0000 0.0000 Li
0.5000 0.5000 0.5000 Pm
0.2528 0.2528 0.2528 Se
0.7472 0.7472 0.7472 Se
```

Summary:
SG ... R-3m, No. 166
E ... -5.081 eV per atom
Formation energy without anion corrections ... -1673 meV/atom

---

Density functional theory data (PBE) for a geometry-optimized Sm8HoBi6 structure.

Structure (POSCAR):
```
Sm8HoBi6
1.0
3.9000 2.2517 9.9701
-3.9000 2.2517 9.9701
0.0000 -4.5033 9.9701
Sm Ho Bi
8 1 6
Direct
0.0421 0.3809 0.7166 Sm
0.1668 0.1668 0.1668 Sm
0.2834 0.9579 0.6191 Sm
0.3809 0.7166 0.0421 Sm
0.6191 0.2834 0.9579 Sm
0.7166 0.0421 0.3809 Sm
0.8332 0.8332 0.8332 Sm
0.9579 0.6191 0.2834 Sm
0.5000 0.5000 0.5000 Ho
0.1100 0.7676 0.4378 Bi
0.2324 0.5622 0.8900 Bi
0.4378 0.1100 0.7676 Bi
0.5622 0.8900 0.2324 Bi
0.7676 0.4378 0.1100 Bi
0.8900 0.2324 0.5622 Bi
```

Summary:
SG ... R-3, No. 148
Energy relative to the elements ... -0.57 eV/atom
E ... -4.942 eV per atom

---

Density functional theory data (PBE) for a geometry-optimized Ac3AlHg2Pd9 structure.

Structure (POSCAR):
```
Ac3AlHg2Pd9
1.0
7.7709 0.0000 0.0000
-3.8854 6.7298 0.0000
0.0000 0.0000 6.8816
Ac Al Hg Pd
3 1 2 9
Direct
0.0000 0.0000 0.0000 Ac
0.3333 0.6667 0.6828 Ac
0.6667 0.3333 0.3172 Ac
0.0000 0.0000 0.5000 Al
0.3333 0.6667 0.1967 Hg
0.6667 0.3333 0.8033 Hg
0.0000 0.5000 0.0000 Pd
0.1524 0.3047 0.3344 Pd
0.1524 0.8476 0.3344 Pd
0.3047 0.1524 0.6656 Pd
0.5000 0.0000 0.0000 Pd
0.5000 0.5000 0.0000 Pd
0.6953 0.8476 0.3344 Pd
0.8476 0.1524 0.6656 Pd
0.8476 0.6953 0.6656 Pd
```

Summary:
SG ... P-3m1, No. 164
Energy relative to the elements ... -0.36 eV/atom
E ... -4.585 eV per atom

---

Density functional theory data (PBE) for a geometry-optimized BiSO2F structure.

Structure (POSCAR):
```
BiSO2F
1.0
3.7337 0.0000 0.0000
0.0000 3.7337 0.0000
0.0000 0.0000 5.0661
Bi S O F
1 1 2 1
Direct
0.0000 0.0000 0.0000 Bi
0.5000 0.5000 0.5000 S
0.0000 0.5000 0.5000 O
0.5000 0.0000 0.5000 O
0.5000 0.5000 0.0000 F
```

Summary:
SG ... P4/mmm, No. 123
E ... -4.255 eV per atom
Formation energy without anion corrections ... -296 meV/atom

---

Density functional theory data (PBE) for a geometry-optimized Sr2InNi9 structure.

Structure (POSCAR):
```
Sr2InNi9
1.0
2.5008 1.4438 8.3400
-2.5008 1.4438 8.3400
0.0000 -2.8876 8.3400
Sr In Ni
2 1 9
Direct
0.1381 0.1381 0.1381 Sr
0.8619 0.8619 0.8619 Sr
0.0000 0.0000 0.0000 In
0.0811 0.5760 0.5760 Ni
0.3323 0.3323 0.3323 Ni
0.4240 0.4240 0.9189 Ni
0.4240 0.9189 0.4240 Ni
0.5000 0.5000 0.5000 Ni
0.5760 0.0811 0.5760 Ni
0.5760 0.5760 0.0811 Ni
0.6677 0.6677 0.6677 Ni
0.9189 0.4240 0.4240 Ni
```

Summary:
SG ... R-3m, No. 166
Energy relative to the elements ... 0.04 eV/atom
E ... -4.803 eV per atom

---

Density functional theory data (PBE) for a geometry-optimized LaVN3 structure.

Structure (POSCAR):
```
LaVN3
1.0
3.9433 0.0000 0.0000
0.5586 5.3793 0.0000
1.5587 2.1890 5.9368
La V N
2 2 6
Direct
0.2208 0.1767 0.1698 La
0.7792 0.8233 0.8302 La
0.2404 0.3519 0.6105 V
0.7596 0.6481 0.3895 V
0.1565 0.6959 0.1181 N
0.3292 0.6106 0.2992 N
0.3410 0.0219 0.5675 N
0.6590 0.9781 0.4325 N
0.6708 0.3894 0.7008 N
0.8435 0.3041 0.8819 N
```

Summary:
SG ... P-1, No. 2
E ... -8.562 eV per atom
Formation energy without anion corrections ... -758 meV/atom

---

Density functional theory data (PBE) for a geometry-optimized Ti2AlO structure.

Structure (POSCAR):
```
Ti2AlO
1.0
0.0000 3.0726 3.0726
3.0726 0.0000 3.0726
3.0726 3.0726 0.0000
Ti Al O
2 1 1
Direct
0.2500 0.2500 0.2500 Ti
0.7500 0.7500 0.7500 Ti
0.0000 0.0000 0.0000 Al
0.5000 0.5000 0.5000 O
```

Summary:
SG ... Fm-3m, No. 225
E ... -6.215 eV per atom
Formation energy without anion corrections ... -92 meV/atom

---

Density functional theory data (PBE) for a geometry-optimized DyTm2Pb9 structure.

Structure (POSCAR):
```
DyTm2Pb9
1.0
4.8661 0.0000 0.0000
0.0000 4.8661 0.0000
0.0000 0.0000 14.6110
Dy Tm Pb
1 2 9
Direct
0.0000 0.0000 0.0000 Dy
0.0000 0.0000 0.3329 Tm
0.0000 0.0000 0.6671 Tm
0.0000 0.5000 0.1678 Pb
0.0000 0.5000 0.5000 Pb
0.0000 0.5000 0.8322 Pb
0.5000 0.0000 0.1678 Pb
0.5000 0.0000 0.5000 Pb
0.5000 0.0000 0.8322 Pb
0.5000 0.5000 0.0000 Pb
0.5000 0.5000 0.3339 Pb
0.5000 0.5000 0.6661 Pb
```

Summary:
SG ... P4/mmm, No. 123
Energy relative to the elements ... -0.24 eV/atom
E ... -4.147 eV per atom

---

Density functional theory data (PBE) for a geometry-optimized PaAl2In structure.

Structure (POSCAR):
```
PaAl2In
1.0
4.4902 0.0000 0.0000
0.0000 4.4902 0.0000
0.0000 0.0000 4.2897
Pa Al In
1 2 1
Direct
0.0000 0.0000 0.0000 Pa
0.0000 0.5000 0.5000 Al
0.5000 0.0000 0.5000 Al
0.5000 0.5000 0.0000 In
```

Summary:
SG ... P4/mmm, No. 123
Energy relative to the elements ... -0.16 eV/atom
E ... -5.094 eV per atom

---

Density functional theory data (PBE) for a geometry-optimized MgTaRu2 structure.

Structure (POSCAR):
```
MgTaRu2
1.0
-1.5900 2.1621 4.5469
1.5900 -2.1621 4.5469
1.5900 2.1621 -4.5469
Mg Ta Ru
1 1 2
Direct
0.0000 0.0000 0.0000 Mg
0.7310 0.2310 0.5000 Ta
0.2529 0.7529 0.5000 Ru
0.5011 0.5011 0.0000 Ru
```

Summary:
SG ... Imm2, No. 44
Energy relative to the elements ... -0.14 eV/atom
E ... -8.139 eV per atom

---

Density functional theory data (PBE) for a geometry-optimized ScAg12Hg6 structure.

Structure (POSCAR):
```
ScAg12Hg6
1.0
5.1671 2.9832 4.1889
-5.1671 2.9832 4.1889
0.0000 -5.9664 4.1889
Sc Ag Hg
1 12 6
Direct
0.0000 0.0000 0.0000 Sc
0.0766 0.1392 0.3800 Ag
0.1392 0.3800 0.0766 Ag
0.2119 0.4658 0.5430 Ag
0.3800 0.0766 0.1392 Ag
0.4570 0.7881 0.5342 Ag
0.4658 0.5430 0.2119 Ag
0.5342 0.4570 0.7881 Ag
0.5430 0.2119 0.4658 Ag
0.6200 0.9234 0.8608 Ag
0.7881 0.5342 0.4570 Ag
0.8608 0.6200 0.9234 Ag
0.9234 0.8608 0.6200 Ag
0.1264 0.7480 0.2905 Hg
0.2520 0.7095 0.8736 Hg
0.2905 0.1264 0.7480 Hg
0.7095 0.8736 0.2520 Hg
0.7480 0.2905 0.1264 Hg
0.8736 0.2520 0.7095 Hg
```

Summary:
SG ... R-3, No. 148
Energy relative to the elements ... 0.05 eV/atom
E ... -2.178 eV per atom

---

Density functional theory data (PBE) for a geometry-optimized La3PrPu2Te6 structure.

Structure (POSCAR):
```
La3PrPu2Te6
1.0
3.9119 -6.7765 0.0000
3.9119 6.7765 0.0000
-2.6097 0.0000 7.4193
La Pr Pu Te
3 1 2 6
Direct
0.0000 0.0000 0.0000 La
0.3358 0.6642 0.0000 La
0.6642 0.3358 0.0000 La
0.5000 0.5000 0.5000 Pr
0.1672 0.8328 0.5000 Pu
0.8328 0.1672 0.5000 Pu
0.0803 0.4188 0.2573 Te
0.2412 0.2412 0.7406 Te
0.4188 0.0803 0.2573 Te
0.5812 0.9197 0.7427 Te
0.7588 0.7588 0.2594 Te
0.9197 0.5812 0.7427 Te
```

Summary:
SG ... C2/m, No. 12
E ... -6.998 eV per atom
Formation energy without anion corrections ... -1409 meV/atom

---

Density functional theory data (PBE) for a geometry-optimized Ba2YBi structure.

Structure (POSCAR):
```
Ba2YBi
1.0
-5.0717 5.0717 3.3953
5.0717 -5.0717 3.3953
5.0717 5.0717 -3.3953
Ba Y Bi
4 2 2
Direct
0.0843 0.6250 0.9593 Ba
0.3750 0.3343 0.4593 Ba
0.6657 0.1250 0.0407 Ba
0.8750 0.9157 0.5407 Ba
0.2500 0.7500 0.5000 Y
0.5000 0.5000 0.0000 Y
0.0000 0.0000 0.0000 Bi
0.7500 0.2500 0.5000 Bi
```

Summary:
SG ... I-42d, No. 122
Energy relative to the elements ... -0.08 eV/atom
E ... -3.627 eV per atom

---

Density functional theory data (PBE) for a geometry-optimized Cs2HoTl2Cl6 structure.

Structure (POSCAR):
```
Cs2HoTl2Cl6
1.0
4.0488 -7.2432 0.0000
4.0488 7.2432 0.0000
-2.4539 0.0000 8.3469
Cs Ho Tl Cl
2 1 2 6
Direct
0.1647 0.8353 0.0000 Cs
0.8353 0.1647 0.0000 Cs
0.5000 0.5000 0.0000 Ho
0.2546 0.7454 0.5000 Tl
0.7454 0.2546 0.5000 Tl
0.1807 0.1807 0.8183 Cl
0.2953 0.5572 0.1856 Cl
0.4428 0.7047 0.8144 Cl
0.5572 0.2953 0.1856 Cl
0.7047 0.4428 0.8144 Cl
0.8193 0.8193 0.1817 Cl
```

Summary:
SG ... C2/m, No. 12
E ... -3.666 eV per atom
Formation energy without anion corrections ... -1657 meV/atom

---

Density functional theory data (PBE) for a geometry-optimized CeSmRe structure.

Structure (POSCAR):
```
CeSmRe
1.0
0.0000 3.3526 9.4550
2.7049 0.0000 9.4550
2.7049 3.3526 0.0000
Ce Sm Re
2 2 2
Direct
0.0884 0.0884 0.9116 Ce
0.9116 0.9116 0.0884 Ce
0.2500 0.2500 0.2500 Sm
0.7500 0.7500 0.7500 Sm
0.3133 0.6867 0.3133 Re
0.6867 0.3133 0.6867 Re
```

Summary:
SG ... Fmmm, No. 69
Energy relative to the elements ... 0.67 eV/atom
E ... -7.027 eV per atom

---

Density functional theory data (PBE) for a geometry-optimized Na2TlSi2 structure.

Structure (POSCAR):
```
Na2TlSi2
1.0
-2.2101 2.2101 6.3107
2.2101 -2.2101 6.3107
2.2101 2.2101 -6.3107
Na Tl Si
2 1 2
Direct
0.2500 0.7500 0.5000 Na
0.7500 0.2500 0.5000 Na
0.0000 0.0000 0.0000 Tl
0.4117 0.4117 0.0000 Si
0.5883 0.5883 0.0000 Si
```

Summary:
SG ... I4/mmm, No. 139
E ... -2.908 eV per atom
Formation energy without anion corrections ... 262 meV/atom

---

Density functional theory data (PBE) for a geometry-optimized Rb3DyU2Te6 structure.

Structure (POSCAR):
```
Rb3DyU2Te6
1.0
3.9278 -6.8034 0.0000
3.9278 6.8034 0.0000
-2.6188 0.0000 8.5986
Rb Dy U Te
3 1 2 6
Direct
0.0000 0.0000 0.0000 Rb
0.3328 0.6672 0.0000 Rb
0.6672 0.3328 0.0000 Rb
0.5000 0.5000 0.5000 Dy
0.1667 0.8333 0.5000 U
0.8333 0.1667 0.5000 U
0.1022 0.4328 0.2985 Te
0.2365 0.2365 0.7015 Te
0.4328 0.1022 0.2985 Te
0.5672 0.8978 0.7015 Te
0.7635 0.7635 0.2985 Te
0.8978 0.5672 0.7015 Te
```

Summary:
SG ... C2/m, No. 12
E ... -5.086 eV per atom
Formation energy without anion corrections ... -1008 meV/atom

---

Density functional theory data (PBE) for a geometry-optimized BaHfS3 structure.

Structure (POSCAR):
```
BaHfS3
1.0
2.3227 -8.7373 0.0000
2.3227 8.7373 0.0000
0.0000 0.0000 6.1001
Ba Hf S
2 2 6
Direct
0.1575 0.8425 0.7500 Ba
0.8425 0.1575 0.2500 Ba
0.4592 0.5408 0.7500 Hf
0.5408 0.4592 0.2500 Hf
0.0000 0.0000 0.0000 S
0.0000 0.0000 0.5000 S
0.0725 0.4080 0.7500 S
0.4080 0.0725 0.2500 S
0.5920 0.9275 0.7500 S
0.9275 0.5920 0.2500 S
```

Summary:
SG ... Cmcm, No. 63
E ... -5.937 eV per atom
Formation energy without anion corrections ... -1085 meV/atom

---

Density functional theory data (PBE) for a geometry-optimized AcTbIn structure.

Structure (POSCAR):
```
AcTbIn
1.0
5.4679 0.0000 0.0000
-2.7339 4.7353 0.0000
0.0000 0.0000 3.9646
Ac Tb In
1 1 1
Direct
0.0000 0.0000 0.0000 Ac
0.3333 0.6667 0.5135 Tb
0.6667 0.3333 0.4725 In
```

Summary:
SG ... P3m1, No. 156
Energy relative to the elements ... -0.21 eV/atom
E ... -4.036 eV per atom

---

Density functional theory data (PBE) for a geometry-optimized SmCu4Au8 structure.

Structure (POSCAR):
```
SmCu4Au8
1.0
-4.6068 4.6068 2.6561
4.6068 -4.6068 2.6561
4.6068 4.6068 -2.6561
Sm Cu Au
1 4 8
Direct
0.0000 0.0000 0.0000 Sm
0.0000 0.0000 0.5000 Cu
0.0000 0.5000 0.0000 Cu
0.5000 0.0000 0.0000 Cu
0.5000 0.5000 0.5000 Cu
0.0000 0.3380 0.3380 Au
0.0000 0.6620 0.6620 Au
0.2810 0.5000 0.7810 Au
0.3380 0.0000 0.3380 Au
0.5000 0.2810 0.7810 Au
0.5000 0.7190 0.2190 Au
0.6620 0.0000 0.6620 Au
0.7190 0.5000 0.2190 Au
```

Summary:
SG ... I4/mmm, No. 139
Energy relative to the elements ... -0.25 eV/atom
E ... -3.893 eV per atom